# K2H2SeI2O10, PBEsol geometry, DFT SCAN
data_K2H2SeI2O10
_cell_length_a 10.376
_cell_length_b 10.376
_cell_length_c 14.327
_cell_angle_alpha 131.14
_cell_angle_beta 131.14
_cell_angle_gamma 26.92
_symmetry_space_group_name_H-M 'P 1'
_symmetry_Int_Tables_number 1
loop_
_symmetry_equiv_pos_as_xyz
'x,y,z'
loop_
_atom_site_label
_atom_site_type_symbol
_atom_site_fract_x
_atom_site_fract_y
_atom_site_fract_z
K1 K 0.142 0.660 0.849
K2 K 0.340 0.858 0.651
K3 K 0.660 0.142 0.349
K4 K 0.858 0.340 0.151
H1 H 0.041 0.491 0.890
H2 H 0.491 0.041 0.390
H3 H 0.509 0.959 0.610
H4 H 0.959 0.509 0.110
Se1 Se 0.318 0.682 0.250
Se2 Se 0.682 0.318 0.750
I1 I 0.020 0.659 0.501
I2 I 0.341 0.980 0.999
I3 I 0.659 0.020 0.001
I4 I 0.980 0.341 0.499
O1 O 0.110 0.860 0.141
O2 O 0.138 0.312 0.136
O3 O 0.140 0.890 0.359
O4 O 0.180 0.313 0.412
O5 O 0.214 0.595 0.466
O6 O 0.312 0.138 0.636
O7 O 0.313 0.180 0.912
O8 O 0.394 0.424 0.682
O9 O 0.405 0.786 0.034
O10 O 0.424 0.394 0.182
O11 O 0.576 0.606 0.818
O12 O 0.595 0.214 0.966
O13 O 0.606 0.576 0.318
O14 O 0.687 0.820 0.088
O15 O 0.688 0.862 0.364
O16 O 0.786 0.405 0.534
O17 O 0.820 0.687 0.588
O18 O 0.860 0.110 0.641
O19 O 0.862 0.688 0.864
O20 O 0.890 0.140 0.859
# Calculated total energy: -392.3 eV/cell
# Space-group type: C2/c (15)